Material: Nd8HRu3I4
Method: DFT, PBE
State: relaxed

a b c (Å): 8.1967 8.1967 9.4669
angles (deg): 115.75 115.75 59.90
Fractional positions:
Nd 0.2249 0.7294 0.6836
Nd 0.2304 0.2304 0.6912
Nd 0.2704 0.2704 0.3160
Nd 0.2706 0.7751 0.3164
Nd 0.7294 0.2249 0.6836
Nd 0.7296 0.7296 0.6840
Nd 0.7696 0.7696 0.3088
Nd 0.7751 0.2706 0.3164
H 0.5000 0.5000 0.5000
Ru 0.0000 0.0000 0.5000
Ru 0.0000 0.5000 0.5000
Ru 0.5000 0.0000 0.5000
I 0.0000 0.0000 0.0000
I 0.0000 0.5000 0.0000
I 0.5000 0.0000 0.0000
I 0.5000 0.5000 0.0000

=====

Material: Nd2H2SeI
Method: DFT, PBE
State: relaxed

a b c (Å): 4.0193 4.0193 8.9680
angles (deg): 90.00 90.00 120.00
Fractional positions:
Nd 0.3333 0.6667 0.2100
Nd 0.6667 0.3333 0.7900
H 0.3333 0.6667 0.7562
H 0.6667 0.3333 0.2438
Se 0.0000 0.0000 0.0000
I 0.0000 0.0000 0.5000

=====

Material: Nd8Si3HI4
Method: DFT, PBE
State: relaxed

a b c (Å): 9.1450 9.1450 9.1450
angles (deg): 55.07 55.07 55.07
Fractional positions:
Nd 0.2333 0.2333 0.2333
Nd 0.2361 0.7294 0.7294
Nd 0.2706 0.2706 0.7639
Nd 0.2706 0.7639 0.2706
Nd 0.7294 0.2361 0.7294
Nd 0.7294 0.7294 0.2361
Nd 0.7639 0.2706 0.2706
Nd 0.7667 0.7667 0.7667
Si 0.0000 0.0000 0.5000
Si 0.0000 0.5000 0.0000
Si 0.5000 0.0000 0.0000
H 0.5000 0.5000 0.5000
I 0.0000 0.0000 0.0000
I 0.0000 0.5000 0.5000
I 0.5000 0.0000 0.5000
I 0.5000 0.5000 0.0000

=====

Material: NiHI
Method: DFT, PBE
State: relaxed

a b c (Å): 6.9594 4.3685 7.5296
angles (deg): 90.00 90.00 90.00
Fractional positions:
Ni 0.1928 0.2500 0.0657
Ni 0.3072 0.7500 0.5657
Ni 0.6928 0.2500 0.4343
Ni 0.8072 0.7500 0.9343
H 0.1037 0.7500 0.5221
H 0.3963 0.2500 0.0221
H 0.6037 0.7500 0.9779
H 0.8963 0.2500 0.4779
I 0.1800 0.7500 0.8799
I 0.3200 0.2500 0.3799
I 0.6800 0.7500 0.6201
I 0.8200 0.2500 0.1201

ΔE to the lowest computed polymorph = 149 meV/atom

=====

Number 1: size of the total moment 0.00 μB/cell, raw total energy -85.9 eV/cell. Number 2: size of the total moment 0.00 μB/cell, raw total energy -28.1 eV/cell. Number 3: size of the total moment 0.02 μB/cell, raw total energy -77.1 eV/cell. Number 4: size of the total moment 0.00 μB/cell, raw total energy -40.1 eV/cell.